[1]
DyGeIr3: optimized geometry, PBE.

Properties
Space-group type = Imma
Spin magnetization = 0.00 μB per atom
ΔH_f (0 K) = -461 meV/atom

POSCAR file:
```
DyGeIr3
1.0
-2.728 3.759 4.363
2.728 -3.759 4.363
2.728 3.759 -4.363
Dy Ge Ir
2 2 6
direct
0.262 0.012 0.250 Dy
0.738 0.988 0.750 Dy
0.000 0.500 0.500 Ge
0.500 0.500 0.000 Ge
0.061 0.311 0.750 Ir
0.299 0.000 0.799 Ir
0.299 0.500 0.299 Ir
0.701 0.000 0.201 Ir
0.701 0.500 0.701 Ir
0.939 0.689 0.250 Ir
```



[2]
Dy3Ge3Ir2: optimized geometry, PBE.

Properties
Space-group type = Cmcm
Spin magnetization = 0.00 μB per atom
Polymorph energy (0 for the lowest one) = 0.00 kcal/mol of atoms
ΔH_f (0 K) = -926 meV/atom

POSCAR file:
```
Dy3Ge3Ir2
1.0
2.164 -5.248 0.000
2.164 5.248 0.000
0.000 0.000 14.306
Dy Ge Ir
6 6 4
direct
0.084 0.916 0.610 Dy
0.084 0.916 0.890 Dy
0.358 0.642 0.750 Dy
0.642 0.358 0.250 Dy
0.916 0.084 0.110 Dy
0.916 0.084 0.390 Dy
0.344 0.656 0.250 Ge
0.376 0.624 0.535 Ge
0.376 0.624 0.965 Ge
0.624 0.376 0.035 Ge
0.624 0.376 0.465 Ge
0.656 0.344 0.750 Ge
0.200 0.800 0.103 Ir
0.200 0.800 0.397 Ir
0.800 0.200 0.603 Ir
0.800 0.200 0.897 Ir
```



[3]
Dy2Ge5Ir3: optimized geometry, PBE.

Properties
Space-group type = Cmc2_1
Spin magnetization = 0.00 μB per atom
Polymorph energy (0 for the lowest one) = 0.31 kcal/mol of atoms
ΔH_f (0 K) = -700 meV/atom

POSCAR file:
```
Dy2Ge5Ir3
1.0
2.111 -12.371 0.000
2.111 12.371 0.000
0.000 0.000 6.890
Dy Ge Ir
4 10 6
direct
0.020 0.980 0.500 Dy
0.324 0.676 0.500 Dy
0.676 0.324 0.000 Dy
0.980 0.020 0.000 Dy
0.100 0.900 0.863 Ge
0.206 0.794 0.296 Ge
0.208 0.792 0.722 Ge
0.382 0.618 0.977 Ge
0.452 0.548 0.663 Ge
0.548 0.452 0.163 Ge
0.618 0.382 0.477 Ge
0.792 0.208 0.222 Ge
0.794 0.206 0.796 Ge
0.900 0.100 0.363 Ge
0.106 0.894 0.231 Ir
0.278 0.722 0.010 Ir
0.446 0.554 0.281 Ir
0.554 0.446 0.781 Ir
0.722 0.278 0.510 Ir
0.894 0.106 0.731 Ir
```



[4]
DyGe7Ir3: optimized geometry, PBE.

Properties
Space-group type = R-3c
Spin magnetization = 0.00 μB per atom
ΔH_f (0 K) = -471 meV/atom

POSCAR file:
```
DyGe7Ir3
1.0
3.962 2.287 6.985
-3.962 2.287 6.985
0.000 -4.575 6.985
Dy Ge Ir
2 14 6
direct
0.000 0.000 0.000 Dy
0.500 0.500 0.500 Dy
0.073 0.851 0.668 Ge
0.149 0.332 0.927 Ge
0.168 0.351 0.573 Ge
0.250 0.250 0.250 Ge
0.332 0.927 0.149 Ge
0.351 0.573 0.168 Ge
0.427 0.832 0.649 Ge
0.573 0.168 0.351 Ge
0.649 0.427 0.832 Ge
0.668 0.073 0.851 Ge
0.750 0.750 0.750 Ge
0.832 0.649 0.427 Ge
0.851 0.668 0.073 Ge
0.927 0.149 0.332 Ge
0.069 0.750 0.431 Ir
0.250 0.569 0.931 Ir
0.431 0.069 0.750 Ir
0.569 0.931 0.250 Ir
0.750 0.431 0.069 Ir
0.931 0.250 0.569 Ir
```



[5]
Dy3Ge2Ir: optimized geometry, PBE.

Properties
Space-group type = Pnma
Spin magnetization = 0.00 μB per atom
ΔH_f (0 K) = -875 meV/atom

POSCAR file:
```
Dy3Ge2Ir
1.0
11.732 0.000 0.000
0.000 4.231 0.000
0.000 0.000 11.226
Dy Ge Ir
12 8 4
direct
0.054 0.250 0.129 Dy
0.121 0.750 0.554 Dy
0.225 0.250 0.799 Dy
0.275 0.750 0.299 Dy
0.379 0.250 0.054 Dy
0.446 0.750 0.629 Dy
0.554 0.250 0.371 Dy
0.621 0.750 0.946 Dy
0.725 0.250 0.701 Dy
0.775 0.750 0.201 Dy
0.879 0.250 0.446 Dy
0.946 0.750 0.871 Dy
0.008 0.750 0.311 Ge
0.188 0.750 0.003 Ge
0.312 0.250 0.503 Ge
0.492 0.250 0.811 Ge
0.508 0.750 0.189 Ge
0.688 0.750 0.497 Ge
0.812 0.250 0.997 Ge
0.992 0.250 0.689 Ge
0.130 0.250 0.371 Ir
0.370 0.750 0.871 Ir
0.630 0.250 0.129 Ir
0.870 0.750 0.629 Ir
```



[6]
DyGe4Ir4: optimized geometry, PBE.

Properties
Space-group type = I4/m
Spin magnetization = 0.00 μB per atom
ΔH_f (0 K) = -324 meV/atom

POSCAR file:
```
DyGe4Ir4
1.0
-4.329 4.329 2.071
4.329 -4.329 2.071
4.329 4.329 -2.071
Dy Ge Ir
1 4 4
direct
0.000 0.000 0.000 Dy
0.280 0.361 0.641 Ge
0.361 0.720 0.081 Ge
0.639 0.280 0.919 Ge
0.720 0.639 0.359 Ge
0.068 0.638 0.706 Ir
0.362 0.068 0.430 Ir
0.638 0.932 0.570 Ir
0.932 0.362 0.294 Ir
```



[7]
Dy4GeIr: optimized geometry, PBE.

Properties
Space-group type = I4/mcm
Spin magnetization = 0.00 μB per atom
ΔH_f (0 K) = -603 meV/atom

POSCAR file:
```
Dy4GeIr
1.0
-3.409 3.409 7.030
3.409 -3.409 7.030
3.409 3.409 -7.030
Dy Ge Ir
8 2 2
direct
0.111 0.611 0.962 Dy
0.149 0.111 0.500 Dy
0.351 0.851 0.962 Dy
0.389 0.351 0.500 Dy
0.611 0.649 0.500 Dy
0.649 0.149 0.038 Dy
0.851 0.889 0.500 Dy
0.889 0.389 0.038 Dy
0.250 0.250 0.000 Ge
0.750 0.750 0.000 Ge
0.000 0.500 0.500 Ir
0.500 0.000 0.500 Ir
```



[8]
Dy3Ge4Ir2: optimized geometry, PBE.

Properties
Space-group type = C2/m
Spin magnetization = 0.00 μB per atom
Polymorph energy (0 for the lowest one) = 0.00 kcal/mol of atoms
ΔH_f (0 K) = -832 meV/atom

POSCAR file:
```
Dy3Ge4Ir2
1.0
5.397 -2.150 0.000
5.397 2.150 0.000
-2.684 0.000 7.750
Dy Ge Ir
3 4 2
direct
0.000 0.000 0.000 Dy
0.375 0.375 0.302 Dy
0.625 0.625 0.698 Dy
0.086 0.086 0.397 Ge
0.292 0.292 0.926 Ge
0.708 0.708 0.074 Ge
0.914 0.914 0.603 Ge
0.312 0.312 0.633 Ir
0.688 0.688 0.367 Ir
```



[9]
DyGe12Ir4: optimized geometry, PBE.

Properties
Space-group type = Im-3
Spin magnetization = 0.00 μB per atom
ΔH_f (0 K) = -201 meV/atom

POSCAR file:
```
DyGe12Ir4
1.0
-4.339 4.339 4.339
4.339 -4.339 4.339
4.339 4.339 -4.339
Dy Ge Ir
1 12 4
direct
0.000 0.000 0.000 Dy
0.152 0.499 0.347 Ge
0.152 0.805 0.653 Ge
0.195 0.347 0.848 Ge
0.347 0.152 0.499 Ge
0.347 0.848 0.195 Ge
0.499 0.347 0.152 Ge
0.501 0.653 0.848 Ge
0.653 0.152 0.805 Ge
0.653 0.848 0.501 Ge
0.805 0.653 0.152 Ge
0.848 0.195 0.347 Ge
0.848 0.501 0.653 Ge
0.000 0.000 0.500 Ir
0.000 0.500 0.000 Ir
0.500 0.000 0.000 Ir
0.500 0.500 0.500 Ir
```



[10]
Dy3Ge2Ir3: optimized geometry, PBE.

Properties
Space-group type = Pnma
Spin magnetization = 0.00 μB per atom
ΔH_f (0 K) = -887 meV/atom

POSCAR file:
```
Dy3Ge2Ir3
1.0
7.569 0.000 0.000
0.000 15.117 0.000
0.000 0.000 5.598
Dy Ge Ir
12 8 12
direct
0.024 0.106 0.135 Dy
0.024 0.394 0.135 Dy
0.170 0.250 0.593 Dy
0.330 0.750 0.093 Dy
0.476 0.606 0.635 Dy
0.476 0.894 0.635 Dy
0.524 0.106 0.365 Dy
0.524 0.394 0.365 Dy
0.670 0.250 0.907 Dy
0.830 0.750 0.407 Dy
0.976 0.606 0.865 Dy
0.976 0.894 0.865 Dy
0.124 0.608 0.371 Ge
0.124 0.892 0.371 Ge
0.376 0.108 0.871 Ge
0.376 0.392 0.871 Ge
0.624 0.608 0.129 Ge
0.624 0.892 0.129 Ge
0.876 0.108 0.629 Ge
0.876 0.392 0.629 Ge
0.172 0.037 0.593 Ir
0.172 0.463 0.593 Ir
0.182 0.750 0.607 Ir
0.318 0.250 0.107 Ir
0.328 0.537 0.093 Ir
0.328 0.963 0.093 Ir
0.672 0.037 0.907 Ir
0.672 0.463 0.907 Ir
0.682 0.750 0.893 Ir
0.818 0.250 0.393 Ir
0.828 0.537 0.407 Ir
0.828 0.963 0.407 Ir
```



[11]
Dy2GeIr: optimized geometry, PBE.

Properties
Space-group type = P4/mmm
Spin magnetization = 0.00 μB per atom
ΔH_f (0 K) = -735 meV/atom

POSCAR file:
```
Dy2GeIr
1.0
3.506 0.000 0.000
0.000 3.506 0.000
0.000 0.000 7.049
Dy Ge Ir
2 1 1
direct
0.000 0.000 0.233 Dy
0.000 0.000 0.767 Dy
0.500 0.500 0.500 Ge
0.500 0.500 0.000 Ir
```



[12]
Dy4Ge3Ir: optimized geometry, PBE.

Properties
Space-group type = Pmm2
Spin magnetization = 0.00 μB per atom
ΔH_f (0 K) = -853 meV/atom

POSCAR file:
```
Dy4Ge3Ir
1.0
4.021 0.000 0.000
0.000 4.188 0.000
0.000 0.000 10.757
Dy Ge Ir
4 3 1
direct
0.000 0.000 0.000 Dy
0.000 0.500 0.485 Dy
0.500 0.000 0.710 Dy
0.500 0.500 0.216 Dy
0.000 0.500 0.766 Ge
0.500 0.000 0.433 Ge
0.500 0.500 0.930 Ge
0.000 0.000 0.272 Ir
```



[13]
Dy5Ge10Ir4: optimized geometry, PBE.

Properties
Space-group type = P4/mbm
Spin magnetization = 0.00 μB per atom
ΔH_f (0 K) = -778 meV/atom

POSCAR file:
```
Dy5Ge10Ir4
1.0
13.032 0.000 0.000
0.000 13.032 0.000
0.000 0.000 4.346
Dy Ge Ir
10 20 8
direct
0.000 0.000 0.000 Dy
0.115 0.385 0.500 Dy
0.174 0.674 0.500 Dy
0.326 0.174 0.500 Dy
0.385 0.885 0.500 Dy
0.500 0.500 0.000 Dy
0.615 0.115 0.500 Dy
0.674 0.826 0.500 Dy
0.826 0.326 0.500 Dy
0.885 0.615 0.500 Dy
0.004 0.843 0.500 Ge
0.067 0.567 0.000 Ge
0.157 0.004 0.500 Ge
0.164 0.200 0.000 Ge
0.200 0.836 0.000 Ge
0.300 0.336 0.000 Ge
0.336 0.700 0.000 Ge
0.343 0.504 0.500 Ge
0.433 0.067 0.000 Ge
0.496 0.343 0.500 Ge
0.504 0.657 0.500 Ge
0.567 0.933 0.000 Ge
0.657 0.496 0.500 Ge
0.664 0.300 0.000 Ge
0.700 0.664 0.000 Ge
0.800 0.164 0.000 Ge
0.836 0.800 0.000 Ge
0.843 0.996 0.500 Ge
0.933 0.433 0.000 Ge
0.996 0.157 0.500 Ge
0.020 0.754 0.000 Ir
0.246 0.020 0.000 Ir
0.254 0.520 0.000 Ir
0.480 0.254 0.000 Ir
0.520 0.746 0.000 Ir
0.746 0.480 0.000 Ir
0.754 0.980 0.000 Ir
0.980 0.246 0.000 Ir
```



[14]
DyGe2Ir4: optimized geometry, PBE.

Properties
Space-group type = P4_2/mnm
Spin magnetization = 0.00 μB per atom
Polymorph energy (0 for the lowest one) = 0.00 kcal/mol of atoms
ΔH_f (0 K) = -534 meV/atom

POSCAR file:
```
DyGe2Ir4
1.0
7.724 0.000 0.000
0.000 7.724 0.000
0.000 0.000 3.938
Dy Ge Ir
2 4 8
direct
0.000 0.000 0.000 Dy
0.500 0.500 0.500 Dy
0.227 0.227 0.500 Ge
0.273 0.727 0.000 Ge
0.727 0.273 0.000 Ge
0.773 0.773 0.500 Ge
0.076 0.660 0.500 Ir
0.160 0.424 0.000 Ir
0.340 0.924 0.500 Ir
0.424 0.160 0.000 Ir
0.576 0.840 0.000 Ir
0.660 0.076 0.500 Ir
0.840 0.576 0.000 Ir
0.924 0.340 0.500 Ir
```



[15]
Dy2Ge2Ir3: optimized geometry, PBE.

Properties
Space-group type = P2/m
Spin magnetization = 0.00 μB per atom
ΔH_f (0 K) = -424 meV/atom

POSCAR file:
```
Dy2Ge2Ir3
1.0
5.830 0.000 0.000
0.000 3.326 0.000
-2.772 0.000 7.767
Dy Ge Ir
2 2 3
direct
0.111 0.000 0.245 Dy
0.889 0.000 0.755 Dy
0.370 0.500 0.745 Ge
0.630 0.500 0.255 Ge
0.000 0.500 0.500 Ir
0.255 0.500 0.011 Ir
0.745 0.500 0.989 Ir
```



[16]
Dy3Ge3Ir2: optimized geometry, PBE.

Properties
Space-group type = Pnma
Spin magnetization = 0.00 μB per atom
Polymorph energy (0 for the lowest one) = 1.04 kcal/mol of atoms
ΔH_f (0 K) = -881 meV/atom

POSCAR file:
```
Dy3Ge3Ir2
1.0
8.137 0.000 0.000
0.000 14.247 0.000
0.000 0.000 5.677
Dy Ge Ir
12 12 8
direct
0.043 0.113 0.119 Dy
0.043 0.387 0.119 Dy
0.190 0.250 0.634 Dy
0.310 0.750 0.134 Dy
0.457 0.613 0.619 Dy
0.457 0.887 0.619 Dy
0.543 0.113 0.381 Dy
0.543 0.387 0.381 Dy
0.690 0.250 0.866 Dy
0.810 0.750 0.366 Dy
0.957 0.613 0.881 Dy
0.957 0.887 0.881 Dy
0.165 0.750 0.612 Ge
0.201 0.037 0.627 Ge
0.201 0.463 0.627 Ge
0.299 0.537 0.127 Ge
0.299 0.963 0.127 Ge
0.335 0.250 0.112 Ge
0.665 0.750 0.888 Ge
0.701 0.037 0.873 Ge
0.701 0.463 0.873 Ge
0.799 0.537 0.373 Ge
0.799 0.963 0.373 Ge
0.835 0.250 0.388 Ge
0.078 0.599 0.383 Ir
0.078 0.901 0.383 Ir
0.422 0.099 0.883 Ir
0.422 0.401 0.883 Ir
0.578 0.599 0.117 Ir
0.578 0.901 0.117 Ir
0.922 0.099 0.617 Ir
0.922 0.401 0.617 Ir
```



[17]
Dy2GeIr: optimized geometry, PBE.

Properties
Space-group type = P2_1/m
Spin magnetization = 0.00 μB per atom
ΔH_f (0 K) = -868 meV/atom

POSCAR file:
```
Dy2GeIr
1.0
5.801 0.000 0.000
0.000 4.146 0.000
-2.785 0.000 7.486
Dy Ge Ir
4 2 2
direct
0.183 0.250 0.410 Dy
0.270 0.750 0.057 Dy
0.730 0.250 0.943 Dy
0.817 0.750 0.590 Dy
0.375 0.750 0.706 Ge
0.625 0.250 0.294 Ge
0.140 0.250 0.787 Ir
0.860 0.750 0.213 Ir
```